Entry from the Alexandria database: an optimized crystal structure of PuMgScPb (PBE).

a = 5.2540 Å, b = 5.2540 Å, c = 5.2540 Å
α = 60.00°, β = 60.00°, γ = 60.00°
Fractional positions:
Pu 0.0000 0.0000 0.0000
Mg 0.2500 0.2500 0.2500
Sc 0.5000 0.5000 0.5000
Pb 0.7500 0.7500 0.7500

Results
formation energy from the elements: -0.08 eV per atom
space group: F-43m